A relaxed Ce3TlOs crystal. Source: Alexandria, functional PBE.

It has space group Cmmm (No. 65), with a = 10.2690 Å, b = 15.2604 Å, c = 3.2836 Å, α = 90.00°, β = 90.00° and γ = 90.00°. The distinct sites, in fractional coordinates, are Ce at (0.0000, 0.2494, 0.0000), Ce at (0.2502, 0.0950, 0.0000), Tl at (0.0000, 0.0000, 0.5000), Tl at (0.0000, 0.5000, 0.5000) and Os at (0.2500, 0.2500, 0.5000).

The calculated total energy comes out at -128.79 eV per cell. For the energy of formation from the pure elements, the calculation gives -0.16 eV per atom. The value obtained for the energy above the lowest structure with this stoichiometry is 0.0 meV per atom.